Record 1
An optimized crystal structure of TbInPt4. Source: Alexandria, functional PBE.

Output
Crystal system: cubic
Magnetization (μB per atom): 0.0000
DFT formation energy (kJ/mol of formula units): -475.0
V (A^3/atom): 18.6
Energy (eV per atom): -6.076

Lattice parameters (Å, degrees): 5.4083 5.4083 5.4083 60.00 60.00 60.00
Positions (direct):
Tb 0.0000 0.0000 0.0000
In 0.7500 0.7500 0.7500
Pt 0.3754 0.3754 0.3754
Pt 0.3754 0.3754 0.8739
Pt 0.3754 0.8739 0.3754
Pt 0.8739 0.3754 0.3754

Record 2
An optimized crystal structure of AcCuAu. Source: Alexandria, functional PBE.

Output
Crystal system: monoclinic
Magnetization (μB per atom): 0.0000
DFT formation energy (kJ/mol of formula units): -153.1
Distance to the lowest polymorph of the same formula (eV/atom): 0.043
V (A^3/atom): 25.3
Energy (eV per atom): -4.356

Lattice parameters (Å, degrees): 8.8597 8.8597 4.2081 103.31 103.31 28.23
Positions (direct):
Ac 0.1199 0.1199 0.3635
Ac 0.8801 0.8801 0.6365
Cu 0.4629 0.4629 0.2140
Cu 0.5371 0.5371 0.7860
Au 0.3044 0.3044 0.0636
Au 0.6956 0.6956 0.9364

Record 3
An optimized crystal structure of RbTb3Y2Te6. Source: Alexandria, functional PBE.

Output
Crystal system: monoclinic
Magnetization (μB per atom): 0.0000
V (A^3/atom): 31.6
Energy relative to the elements, uncorrected (eV per formula unit): -15.4
Energy (eV per atom): -5.168

Lattice parameters (Å, degrees): 9.9922 9.9922 9.1225 103.60 103.60 25.41
Positions (direct):
Rb 0.0000 0.0000 0.0000
Tb 0.0000 0.0000 0.5000
Tb 0.3405 0.3405 0.1830
Tb 0.6595 0.6595 0.8170
Y 0.3300 0.3300 0.6543
Y 0.6700 0.6700 0.3457
Te 0.1657 0.1657 0.5825
Te 0.1774 0.1774 0.0877
Te 0.4953 0.4953 0.7278
Te 0.5047 0.5047 0.2722
Te 0.8226 0.8226 0.9123
Te 0.8343 0.8343 0.4175